1.
# Ta3Tc4W

Ta3Tc4W after structural relaxation (PBE-GGA, the Alexandria database).

calculated density	14.5	g/cm3
DOS at the Fermi energy	2.5	states/eV/f.u.
final energy	-11.6102	eV/atom
formation energy from the elements	-2.91	eV/f.u.
total moment	0.00	μB per formula unit

a = 3.1747 Å, b = 4.4880 Å, c = 8.9753 Å
α = 90.00°, β = 90.00°, γ = 90.00°
Element x y z (fractional)
Ta  0.0000  0.0000  0.0000
Ta  0.0000  0.5000  0.2516
Ta  0.0000  0.5000  0.7484
Tc  0.5000  0.0000  0.2533
Tc  0.5000  0.0000  0.7467
Tc  0.5000  0.5000  0.0000
Tc  0.5000  0.5000  0.5000
W  0.0000  0.0000  0.5000

***

2.
# TaTc2W

TaTc2W after structural relaxation (PBE-GGA, the Alexandria database).

calculated density	14.8	g/cm3
DOS at the Fermi energy	2.0	states/eV/f.u.
final energy	-11.6020	eV/atom
formation energy from the elements	-0.87	eV/f.u.
total moment	0.00	μB per formula unit

a = 3.1548 Å, b = 3.1548 Å, c = 6.3372 Å
α = 90.00°, β = 90.00°, γ = 90.00°
Element x y z (fractional)
Ta  0.0000  0.0000  0.0000
Tc  0.5000  0.5000  0.2516
Tc  0.5000  0.5000  0.7484
W  0.0000  0.0000  0.5000

***

3.
# TaTc2W

TaTc2W after structural relaxation (PBE-GGA, the Alexandria database).

calculated density	14.6	g/cm3
DOS at the Fermi energy	4.7	states/eV/f.u.
final energy	-11.3425	eV/atom
formation energy from the elements	0.17	eV/f.u.
total moment	0.00	μB per formula unit

a = 2.7599 Å, b = 2.7599 Å, c = 8.8714 Å
α = 90.00°, β = 90.00°, γ = 109.82°
Element x y z (fractional)
Ta  0.0000  0.0000  0.0000
Tc  0.0000  0.0000  0.5064
Tc  0.5000  0.5000  0.7497
W  0.5000  0.5000  0.2619

***

Q: formation energy from the elements of number 3 (TaTc2W)?
A: 0.17 eV/f.u.

***

Q: What is the total moment in the second record?
A: 0.00 μB per formula unit

***

Q: What is the final energy in the third record?
A: -11.3425 eV/atom